[1]
Density functional theory data (GGA-PBE) for an optimized crystal structure of Cs2CdAuCl.

Geometry as CIF:
```
data_Cs2CdAuCl
_space_group_name_H-M_alt 'P 4/n m m'
_space_group_IT_number 129
_cell_length_a 4.954
_cell_length_b 4.954
_cell_length_c 16.347
_cell_angle_alpha 90.00
_cell_angle_beta 90.00
_cell_angle_gamma 90.00
loop_
_space_group_symop_operation_xyz
'x,y,z'
'-x,-y,-z'
'-y+1/2,x,z'
'y+1/2,-x,-z'
'-x+1/2,-y+1/2,z'
'x+1/2,y+1/2,-z'
'y,-x+1/2,z'
'-y,x+1/2,-z'
'x+1/2,-y,-z'
'-x+1/2,y,z'
'-y,-x,-z'
'y,x,z'
'-x,y+1/2,-z'
'x,-y+1/2,z'
'y+1/2,x+1/2,-z'
'-y+1/2,-x+1/2,z'
loop_
_atom_site_label
_atom_site_fract_x
_atom_site_fract_y
_atom_site_fract_z
Cs1 0.250 0.250 0.112
Cs2 0.250 0.250 0.684
Cd1 0.250 0.750 0.500
Au1 0.250 0.250 0.402
Cl1 0.250 0.250 0.899
```

Computed properties:
* distance to the lowest polymorph of the same formula: 0.0000 eV/atom
* ΔE_f (raw): -918 meV per atom
* crystal system: tetragonal

[2]
Density functional theory data (GGA-PBE) for an optimized crystal structure of LiIn6Hg8.

Geometry as CIF:
```
data_LiIn6Hg8
_space_group_name_H-M_alt 'P -3'
_space_group_IT_number 147
_space_group_name_Hall '-P 3'
_cell_length_a 8.6505
_cell_length_b 8.6505
_cell_length_c 6.0510
_cell_angle_alpha 90.00
_cell_angle_beta 90.00
_cell_angle_gamma 120.00
loop_
_atom_site_label
_atom_site_fract_x
_atom_site_fract_y
_atom_site_fract_z
Li1 0.0000 0.0000 0.0000
In1 0.1081 0.4446 0.1680
Hg1 0.0639 0.2722 0.6946
Hg2 0.3333 0.6667 0.6253
```

Computed properties:
* crystal system: trigonal
* formation energy from the elements: -0.0213 eV/atom

[3]
Density functional theory data (GGA-PBE) for an optimized crystal structure of Er8P3CS4.

Geometry as CIF:
```
data_Er8P3CS4
_space_group_name_H-M_alt 'R -3 m'
_space_group_IT_number 166
_space_group_name_Hall '-R 3 2"'
_cell_length_a 7.7491
_cell_length_b 7.7491
_cell_length_c 19.0810
_cell_angle_alpha 90.00
_cell_angle_beta 90.00
_cell_angle_gamma 120.00
loop_
_atom_site_label
_atom_site_fract_x
_atom_site_fract_y
_atom_site_fract_z
Er1 0.0000 0.0000 0.2474
Er2 0.0203 0.5102 0.2427
P1 0.0000 0.5000 0.5000
C1 0.0000 0.0000 0.5000
S1 0.0000 0.0000 0.0000
S2 0.0000 0.5000 0.0000
```

Computed properties:
* ΔE_f (raw): -1713 meV per atom
* crystal system: trigonal

no.,energy (eV/f.u.)
1,-12.3
2,-21.1
3,-105.9